Version P
VASP calculation (PBE+U) on CoTeP2O after structural relaxation.

a b c (Å): 5.125 5.125 3.894
angles (deg): 90.00 90.00 90.00
Atoms (fractional coordinates):
Co  0.000  0.000  0.000
Te  0.500  0.500  0.500
P  0.000  0.500  0.500
P  0.500  0.000  0.500
O  0.500  0.500  0.000

---

Version Q
VASP calculation (PBE+U) on CoTeP2O after structural relaxation.

a b c (Å): 4.710 4.710 3.527
angles (deg): 90.00 90.00 90.00
Atoms (fractional coordinates):
Co  0.000  0.000  0.000
Te  0.500  0.500  0.500
P  0.000  0.500  0.000
P  0.500  0.000  0.000
O  0.000  0.000  0.500

---

Bottom line: version Q, by a margin of 639 meV per atom.

---

Version P
VASP calculation (PBE+U) on TiCoP2O after structural relaxation.

a b c (Å): 4.560 4.560 3.422
angles (deg): 90.00 90.00 90.00
Atoms (fractional coordinates):
Ti  0.000  0.000  0.000
Co  0.500  0.500  0.500
P  0.000  0.500  0.500
P  0.500  0.000  0.500
O  0.500  0.500  0.000

---

Version Q
VASP calculation (PBE+U) on TiCoP2O after structural relaxation.

a b c (Å): 4.901 4.901 3.640
angles (deg): 90.00 90.00 90.00
Atoms (fractional coordinates):
Ti  0.000  0.000  0.000
Co  0.500  0.500  0.500
P  0.000  0.500  0.000
P  0.500  0.000  0.000
O  0.000  0.000  0.500

---

Bottom line: version Q, by a margin of 150 meV per atom.

---

Version P
VASP calculation (PBE+U) on VCoP2O after structural relaxation.

a b c (Å): 4.736 4.736 3.581
angles (deg): 90.00 90.00 90.00
Atoms (fractional coordinates):
V  0.000  0.000  0.000
Co  0.500  0.500  0.500
P  0.000  0.500  0.000
P  0.500  0.000  0.000
O  0.000  0.000  0.500

---

Version Q
VASP calculation (PBE+U) on VCoP2O after structural relaxation.

a b c (Å): 4.515 4.515 3.425
angles (deg): 90.00 90.00 90.00
Atoms (fractional coordinates):
V  0.000  0.000  0.000
Co  0.500  0.500  0.500
P  0.000  0.500  0.500
P  0.500  0.000  0.500
O  0.500  0.500  0.000

---

Bottom line: version P, by a margin of 388 meV per atom.

---

Version P
VASP calculation (PBE+U) on CoPWO2 after structural relaxation.

a b c (Å): 3.826 3.826 5.218
angles (deg): 90.00 90.00 90.00
Atoms (fractional coordinates):
Co  0.000  0.000  0.000
P  0.500  0.500  0.000
W  0.500  0.500  0.500
O  0.000  0.500  0.500
O  0.500  0.000  0.500

---

Version Q
VASP calculation (PBE+U) on CoPWO2 after structural relaxation.

a b c (Å): 3.698 3.698 4.834
angles (deg): 90.00 90.00 90.00
Atoms (fractional coordinates):
Co  0.000  0.000  0.000
P  0.000  0.000  0.500
W  0.500  0.500  0.500
O  0.000  0.500  0.000
O  0.500  0.000  0.000

---

Bottom line: version P, by a margin of 729 meV per atom.

---

Version P
VASP calculation (PBE+U) on YCoP2O after structural relaxation.

a b c (Å): 4.758 4.758 3.560
angles (deg): 90.00 90.00 90.00
Atoms (fractional coordinates):
Y  0.000  0.000  0.000
Co  0.500  0.500  0.500
P  0.000  0.500  0.500
P  0.500  0.000  0.500
O  0.500  0.500  0.000

---

Version Q
VASP calculation (PBE+U) on YCoP2O after structural relaxation.

a b c (Å): 5.328 5.328 4.106
angles (deg): 90.00 90.00 90.00
Atoms (fractional coordinates):
Y  0.000  0.000  0.000
Co  0.500  0.500  0.500
P  0.000  0.500  0.000
P  0.500  0.000  0.000
O  0.000  0.000  0.500

---

Bottom line: version P, by a margin of 1277 meV per atom.

---

Version P
VASP calculation (PBE+U) on ZnCoP2O after structural relaxation.

a b c (Å): 4.665 4.665 3.404
angles (deg): 90.00 90.00 90.00
Atoms (fractional coordinates):
Zn  0.000  0.000  0.000
Co  0.500  0.500  0.500
P  0.000  0.500  0.500
P  0.500  0.000  0.500
O  0.500  0.500  0.000

---

Version Q
VASP calculation (PBE+U) on ZnCoP2O after structural relaxation.

a b c (Å): 4.869 4.869 3.530
angles (deg): 90.00 90.00 90.00
Atoms (fractional coordinates):
Zn  0.000  0.000  0.000
Co  0.500  0.500  0.500
P  0.000  0.500  0.000
P  0.500  0.000  0.000
O  0.000  0.000  0.500

---

Bottom line: version P, by a margin of 507 meV per atom.